1.
Mn2AgBr8 PBE optimized geometry; space group = C2/m
1.0
-4.057 5.257 0.730
-7.097 -2.815 -2.810
-4.829 -2.306 6.128
Mn Ag Br
2 1 8
Cartesian
-3.565 0.681 0.866
-12.417 -0.546 3.182
0.000 0.000 0.000
-7.221 2.308 4.603
-7.382 -1.863 4.881
-4.886 2.622 1.091
-11.096 -2.487 2.958
-8.600 1.998 -0.833
-8.761 -2.173 -0.555
-5.157 -0.919 1.361
-10.825 1.054 2.687

2.
SmUIrRu PBE optimized geometry; formation energy from the elements = -0.29 eV per atom; space group = F-43m
1.0
-3.568 1.107 -3.119
-4.498 -1.705 0.743
-3.559 3.032 1.351
Ru Ir U Sm
1 1 1 1
Cartesian
-8.719 1.826 -0.768
-2.906 0.609 -0.256
0.000 0.000 0.000
-5.813 1.218 -0.512

3.
Be2GaCu2 PBE optimized geometry; formation energy from the elements = 0.04 eV per atom; space group = P4/mbm
1.0
-5.037 -0.579 3.946
2.939 -4.836 3.041
1.135 1.764 1.708
Be Cu Ga
4 4 2
Cartesian
0.685 -4.443 4.133
-2.562 -3.534 5.352
-2.783 -0.973 2.854
0.464 -1.881 1.635
1.690 -2.430 3.529
-0.329 -3.541 6.017
-2.653 -1.221 5.166
-0.634 -0.111 2.677
0.000 0.000 0.000
-1.049 -2.708 3.493

4.
Zr2AlPb PBE optimized geometry; formation energy from the elements = -0.26 eV per atom; space group = Pm
1.0
-3.079 -0.466 -2.693
-0.920 -3.528 1.663
-3.823 0.715 4.247
Pb Al Zr
1 1 2
Cartesian
-5.065 -1.576 2.918
-2.341 -2.219 3.060
-4.433 -2.776 5.550
-3.097 -0.928 0.554

5.
SrPa2GaO8 PBE optimized geometry; space group = Cmmm
1.0
-4.284 -2.096 1.595
2.139 -4.487 0.778
1.561 1.904 6.692
Sr Pa Ga O
1 2 1 8
Cartesian
0.780 0.952 3.346
0.109 -1.851 6.252
-0.693 -2.829 2.813
0.000 0.000 0.000
1.204 -3.628 2.310
-1.484 -4.557 1.642
-2.709 -2.175 2.809
-1.789 -1.052 6.755
0.899 -0.122 7.423
2.124 -2.505 6.256
-0.658 -3.467 4.938
0.073 -1.213 4.127

6.
SrReOs PBE optimized geometry; formation energy from the elements = 2.87 eV per atom; space group = F-43m
1.0
-2.254 -3.555 1.881
2.206 -2.887 2.838
-0.968 0.009 4.508
Os Re Sr
1 1 1
Cartesian
0.000 0.000 0.000
-0.508 -3.217 4.614
-0.762 -4.825 6.920

7.
NaHg2TeAs PBE optimized geometry; space group = P4/mmm
1.0
-4.685 1.521 2.869
-3.249 -3.382 -3.512
0.744 -4.399 3.548
Na As Te Hg
1 1 1 2
Cartesian
-1.624 -1.691 -1.756
-3.595 -3.130 1.452
0.000 0.000 0.000
0.372 -2.200 1.774
-2.343 0.761 1.434

8.
NbCrGa PBE optimized geometry; formation energy from the elements = 0.22 eV per atom; space group = R-3m
1.0
4.580 0.000 0.000
2.290 3.966 0.000
2.290 1.322 5.327
Cr Nb Ga
2 2 2
Cartesian
2.290 1.322 1.037
6.870 3.966 4.290
2.290 1.322 3.570
6.870 3.966 1.756
4.580 2.644 3.959
4.580 2.644 1.367

9.
BePdAu PBE optimized geometry; formation energy from the elements = -0.35 eV per atom; space group = I4mm
1.0
2.868 0.000 0.000
0.000 2.868 0.000
-1.434 -1.434 4.986
Be Au Pd
1 1 1
Cartesian
1.434 1.434 1.743
0.000 0.000 0.198
0.000 0.000 3.044

Number 1: calculated total energy -3.61 eV per atom, spin magnetization 7.0 μB per formula unit. Number 2: calculated total energy -8.83 eV per atom, spin magnetization 1.9 μB per formula unit. Number 3: calculated total energy -3.70 eV per atom, spin magnetization 0.0 μB per formula unit. Number 4: calculated total energy -6.40 eV per atom, spin magnetization 0.0 μB per formula unit. Number 5: calculated total energy -8.12 eV per atom, spin magnetization 0.5 μB per formula unit. Number 6: calculated total energy -5.58 eV per atom, spin magnetization 2.5 μB per formula unit. Number 7: calculated total energy -1.61 eV per atom, spin magnetization 1.9 μB per formula unit. Number 8: calculated total energy -7.36 eV per atom, spin magnetization 0.9 μB per formula unit. Number 9: calculated total energy -4.41 eV per atom, spin magnetization 0.0 μB per formula unit.